Arrangement a

## Dy2Hg3Pd2 (PBE)

Data for a geometry-optimized Dy2Hg3Pd2 structure.

Summary:
The density comes out at 11.98 g/cm³.

Lattice parameters (Å, degrees): 5.5570 5.5570 7.6870 93.85 93.85 41.84
Fractional coordinates of all 7 atoms:
Dy1 0.1179 0.1179 0.3441
Dy2 0.8821 0.8821 0.6559
Hg1 0.2002 0.2002 0.8576
Hg2 0.5000 0.5000 0.0000
Hg3 0.7998 0.7998 0.1424
Pd1 0.4035 0.4035 0.3717
Pd2 0.5965 0.5965 0.6283

---

Arrangement b

## Dy2Hg3Pd2 (PBE)

Data for a geometry-optimized Dy2Hg3Pd2 structure.

Summary:
The density comes out at 12.29 g/cm³.

Lattice parameters (Å, degrees): 5.3734 5.3734 7.4422 106.97 106.97 49.14
Fractional coordinates of all 7 atoms:
Dy1 0.1382 0.1382 0.2790
Dy2 0.8618 0.8618 0.7210
Hg1 0.3720 0.3720 0.0590
Hg2 0.5000 0.5000 0.5000
Hg3 0.6280 0.6280 0.9410
Pd1 0.1593 0.1593 0.6878
Pd2 0.8407 0.8407 0.3122

---

Most stable: arrangement b

---

Arrangement a

## Dy3HgPd4 (PBE)

Data for a geometry-optimized Dy3HgPd4 structure.

Summary:
The density comes out at 10.24 g/cm³.

Lattice parameters (Å, degrees): 6.4292 6.4292 6.4292 131.21 105.99 93.77
Fractional coordinates of all 8 atoms:
Dy1 0.0000 0.0000 0.0000
Dy2 0.1206 0.3535 0.7670
Dy3 0.5865 0.3535 0.2330
Hg1 0.4358 0.9358 0.5000
Pd1 0.3303 0.6555 0.6748
Pd2 0.7043 0.4619 0.7576
Pd3 0.7043 0.9466 0.2424
Pd4 0.9807 0.6555 0.3252

---

Arrangement b

## Dy3HgPd4 (PBE)

Data for a geometry-optimized Dy3HgPd4 structure.

Summary:
The density comes out at 11.22 g/cm³.

Lattice parameters (Å, degrees): 9.7394 6.9504 4.8690 90.00 90.00 90.00
Fractional coordinates of all 16 atoms:
Dy1 0.0000 0.0000 0.0000
Dy2 0.2500 0.0000 0.4994
Dy3 0.2500 0.5000 0.4989
Dy4 0.5000 0.0000 0.0000
Dy5 0.7500 0.0000 0.5006
Dy6 0.7500 0.5000 0.5011
Hg1 0.0000 0.5000 0.0000
Hg2 0.5000 0.5000 0.0000
Pd1 0.0000 0.2429 0.5000
Pd2 0.0000 0.7571 0.5000
Pd3 0.2500 0.2426 0.9989
Pd4 0.2500 0.7574 0.9989
Pd5 0.5000 0.2429 0.5000
Pd6 0.5000 0.7571 0.5000
Pd7 0.7500 0.2426 0.0011
Pd8 0.7500 0.7574 0.0011

---

Most stable: arrangement b

---

Arrangement a

## Dy8HgPd2 (PBE)

Data for a geometry-optimized Dy8HgPd2 structure.

Summary:
The density comes out at 9.26 g/cm³.

Lattice parameters (Å, degrees): 8.0239 8.0239 5.5083 98.69 98.69 115.41
Fractional coordinates of all 11 atoms:
Dy1 0.0000 0.0000 0.0000
Dy2 0.0551 0.3030 0.6038
Dy3 0.1515 0.6231 0.1894
Dy4 0.3030 0.0551 0.6038
Dy5 0.4715 0.7194 0.7752
Dy6 0.6231 0.1515 0.1894
Dy7 0.7194 0.4715 0.7752
Dy8 0.7744 0.7744 0.3789
Hg1 0.3874 0.3874 0.1876
Pd1 0.0855 0.6892 0.6894
Pd2 0.6892 0.0855 0.6894

---

Arrangement b

## Dy8HgPd2 (PBE)

Data for a geometry-optimized Dy8HgPd2 structure.

Summary:
The density comes out at 9.43 g/cm³.

Lattice parameters (Å, degrees): 9.3078 9.3078 6.8875 106.09 106.09 31.87
Fractional coordinates of all 11 atoms:
Dy1 0.0329 0.0329 0.2722
Dy2 0.2009 0.2009 0.8329
Dy3 0.3256 0.3256 0.5143
Dy4 0.4063 0.4063 0.0283
Dy5 0.5937 0.5937 0.9717
Dy6 0.6744 0.6744 0.4857
Dy7 0.7991 0.7991 0.1671
Dy8 0.9671 0.9671 0.7278
Hg1 0.5000 0.5000 0.5000
Pd1 0.1811 0.1811 0.2255
Pd2 0.8189 0.8189 0.7745

---

Most stable: arrangement b

---

Arrangement a

## Dy6Hg2Pd (PBE)

Data for a geometry-optimized Dy6Hg2Pd structure.

Summary:
The density comes out at 10.02 g/cm³.

Lattice parameters (Å, degrees): 8.6150 8.6150 8.6150 110.84 110.63 106.97
Fractional coordinates of all 18 atoms:
Dy1 0.0722 0.2443 0.8279
Dy2 0.2286 0.5571 0.3285
Dy3 0.2286 0.9001 0.6715
Dy4 0.3140 0.2370 0.5510
Dy5 0.3140 0.7630 0.0769
Dy6 0.4164 0.2443 0.1721
Dy7 0.5836 0.7557 0.8279
Dy8 0.6860 0.2370 0.9231
Dy9 0.6860 0.7630 0.4490
Dy10 0.7714 0.0999 0.3285
Dy11 0.7714 0.4429 0.6715
Dy12 0.9278 0.7557 0.1721
Hg1 0.0000 0.1438 0.1438
Hg2 0.0000 0.8562 0.8562
Hg3 0.1495 0.5000 0.6495
Hg4 0.8505 0.5000 0.3505
Pd1 0.5000 0.0000 0.5000
Pd2 0.5000 0.5000 0.0000

---

Arrangement b

## Dy6Hg2Pd (PBE)

Data for a geometry-optimized Dy6Hg2Pd structure.

Summary:
The density comes out at 9.15 g/cm³.

Lattice parameters (Å, degrees): 8.6440 8.6440 8.6440 145.99 131.22 60.80
Fractional coordinates of all 9 atoms:
Dy1 0.0850 0.3398 0.7452
Dy2 0.2386 0.0000 0.2386
Dy3 0.4054 0.6602 0.7452
Dy4 0.5946 0.3398 0.2548
Dy5 0.7614 0.0000 0.7614
Dy6 0.9150 0.6602 0.2548
Hg1 0.3327 0.8327 0.5000
Hg2 0.6673 0.1673 0.5000
Pd1 0.0000 0.5000 0.5000

---

Most stable: arrangement a

---

Arrangement a

## DyHg3Pd6 (PBE)

Data for a geometry-optimized DyHg3Pd6 structure.

Summary:
The density comes out at 12.90 g/cm³.

Lattice parameters (Å, degrees): 7.8737 4.7863 10.1946 90.00 109.91 90.00
Fractional coordinates of all 20 atoms:
Dy1 0.0075 0.2500 0.3447
Dy2 0.9925 0.7500 0.6553
Hg1 0.1755 0.2500 0.1071
Hg2 0.3966 0.7500 0.2796
Hg3 0.4059 0.7500 0.7778
Hg4 0.5941 0.2500 0.2222
Hg5 0.6034 0.2500 0.7204
Hg6 0.8245 0.7500 0.8929
Pd1 0.0093 0.7500 0.1780
Pd2 0.2082 0.2500 0.6381
Pd3 0.2097 0.7500 0.9656
Pd4 0.2109 0.7500 0.4799
Pd5 0.3946 0.2500 0.4295
Pd6 0.3958 0.2500 0.9317
Pd7 0.6042 0.7500 0.0683
Pd8 0.6054 0.7500 0.5705
Pd9 0.7891 0.2500 0.5201
Pd10 0.7903 0.2500 0.0344
Pd11 0.7919 0.7500 0.3619
Pd12 0.9907 0.2500 0.8220

---

Arrangement b

## DyHg3Pd6 (PBE)

Data for a geometry-optimized DyHg3Pd6 structure.

Summary:
The density comes out at 12.90 g/cm³.

Lattice parameters (Å, degrees): 8.8617 4.3163 9.4868 90.00 95.43 90.00
Fractional coordinates of all 20 atoms:
Dy1 0.0627 0.2500 0.3749
Dy2 0.9373 0.7500 0.6251
Hg1 0.2456 0.2500 0.0161
Hg2 0.3438 0.7500 0.8073
Hg3 0.4484 0.2500 0.6027
Hg4 0.5516 0.7500 0.3973
Hg5 0.6562 0.2500 0.1927
Hg6 0.7544 0.7500 0.9839
Pd1 0.0540 0.7500 0.9104
Pd2 0.1482 0.2500 0.7012
Pd3 0.1521 0.7500 0.2088
Pd4 0.2486 0.7500 0.5059
Pd5 0.3615 0.2500 0.3021
Pd6 0.4523 0.7500 0.0996
Pd7 0.5477 0.2500 0.9004
Pd8 0.6385 0.7500 0.6979
Pd9 0.7514 0.2500 0.4941
Pd10 0.8479 0.2500 0.7912
Pd11 0.8518 0.7500 0.2988
Pd12 0.9460 0.2500 0.0896

---

Most stable: arrangement b

---

Arrangement a

## Dy4HgPd (PBE)

Data for a geometry-optimized Dy4HgPd structure.

Summary:
The density comes out at 10.02 g/cm³.

Lattice parameters (Å, degrees): 9.6452 9.6452 9.6452 60.00 60.00 60.00
Fractional coordinates of all 24 atoms:
Dy1 0.1853 0.1853 0.8147
Dy2 0.1853 0.8147 0.1853
Dy3 0.1853 0.8147 0.8147
Dy4 0.3932 0.3932 0.3932
Dy5 0.3932 0.3932 0.8203
Dy6 0.3932 0.8203 0.3932
Dy7 0.5609 0.5609 0.9391
Dy8 0.5609 0.9391 0.5609
Dy9 0.5609 0.9391 0.9391
Dy10 0.8147 0.1853 0.1853
Dy11 0.8147 0.1853 0.8147
Dy12 0.8147 0.8147 0.1853
Dy13 0.8203 0.3932 0.3932
Dy14 0.9391 0.5609 0.5609
Dy15 0.9391 0.5609 0.9391
Dy16 0.9391 0.9391 0.5609
Hg1 0.1632 0.1632 0.1632
Hg2 0.1632 0.1632 0.5104
Hg3 0.1632 0.5104 0.1632
Hg4 0.5104 0.1632 0.1632
Pd1 0.1871 0.6043 0.6043
Pd2 0.6043 0.1871 0.6043
Pd3 0.6043 0.6043 0.1871
Pd4 0.6043 0.6043 0.6043

---

Arrangement b

## Dy4HgPd (PBE)

Data for a geometry-optimized Dy4HgPd structure.

Summary:
The density comes out at 8.83 g/cm³.

Lattice parameters (Å, degrees): 7.1952 7.1417 7.0131 90.00 93.23 90.00
Fractional coordinates of all 12 atoms:
Dy1 0.1491 0.1582 0.1742
Dy2 0.1491 0.3418 0.6742
Dy3 0.3302 0.6493 0.1286
Dy4 0.3302 0.8507 0.6286
Dy5 0.6698 0.1493 0.3714
Dy6 0.6698 0.3507 0.8714
Dy7 0.8509 0.6582 0.3258
Dy8 0.8509 0.8418 0.8258
Hg1 0.5000 0.0000 0.0000
Hg2 0.5000 0.5000 0.5000
Pd1 0.0000 0.0000 0.5000
Pd2 0.0000 0.5000 0.0000

---

Most stable: arrangement a

---

Arrangement a

## DyHg2Pd5 (PBE)

Data for a geometry-optimized DyHg2Pd5 structure.

Summary:
The density comes out at 12.70 g/cm³.

Lattice parameters (Å, degrees): 8.5159 8.5159 4.2384 104.26 104.26 28.82
Fractional coordinates of all 8 atoms:
Dy1 0.0000 0.0000 0.0000
Hg1 0.2525 0.2525 0.2523
Hg2 0.7475 0.7475 0.7477
Pd1 0.1252 0.1252 0.6246
Pd2 0.3748 0.3748 0.8749
Pd3 0.5000 0.5000 0.5000
Pd4 0.6252 0.6252 0.1251
Pd5 0.8748 0.8748 0.3754

---

Arrangement b

## DyHg2Pd5 (PBE)

Data for a geometry-optimized DyHg2Pd5 structure.

Summary:
The density comes out at 12.27 g/cm³.

Lattice parameters (Å, degrees): 7.6003 7.6003 7.6003 122.71 122.71 85.36
Fractional coordinates of all 16 atoms:
Dy1 0.2500 0.2500 0.0000
Dy2 0.7500 0.7500 0.0000
Hg1 0.1543 0.6543 0.8086
Hg2 0.3457 0.1543 0.5000
Hg3 0.6543 0.8457 0.5000
Hg4 0.8457 0.3457 0.1914
Pd1 0.0000 0.0000 0.0000
Pd2 0.0252 0.8114 0.5000
Pd3 0.1886 0.6886 0.2138
Pd4 0.3114 0.5252 0.5000
Pd5 0.4748 0.9748 0.7862
Pd6 0.5000 0.5000 0.0000
Pd7 0.5252 0.0252 0.2138
Pd8 0.6886 0.4748 0.5000
Pd9 0.8114 0.3114 0.7862
Pd10 0.9748 0.1886 0.5000

---

Most stable: arrangement a

---

Arrangement a

## SmDyHgPd (PBE)

Data for a geometry-optimized SmDyHgPd structure.

Summary:
The density comes out at 10.56 g/cm³.

Lattice parameters (Å, degrees): 5.1654 5.1654 5.1654 60.00 60.00 60.00
Fractional coordinates of all 4 atoms:
Sm1 0.0000 0.0000 0.0000
Dy1 0.5000 0.5000 0.5000
Hg1 0.2500 0.2500 0.2500
Pd1 0.7500 0.7500 0.7500

---

Arrangement b

## SmDyHgPd (PBE)

Data for a geometry-optimized SmDyHgPd structure.

Summary:
The density comes out at 10.57 g/cm³.

Lattice parameters (Å, degrees): 3.6086 3.6086 7.4760 90.00 90.00 90.00
Fractional coordinates of all 4 atoms:
Sm1 0.0000 0.0000 0.0000
Dy1 0.0000 0.0000 0.4588
Hg1 0.5000 0.5000 0.7200
Pd1 0.5000 0.5000 0.2452

---

Most stable: arrangement b

---

Arrangement a

## TbDyHgPd (PBE)

Data for a geometry-optimized TbDyHgPd structure.

Summary:
The density comes out at 10.98 g/cm³.

Lattice parameters (Å, degrees): 5.1228 5.1228 5.1228 60.00 60.00 60.00
Fractional coordinates of all 4 atoms:
Tb1 0.0000 0.0000 0.0000
Dy1 0.5000 0.5000 0.5000
Hg1 0.2500 0.2500 0.2500
Pd1 0.7500 0.7500 0.7500

---

Arrangement b

## TbDyHgPd (PBE)

Data for a geometry-optimized TbDyHgPd structure.

Summary:
The density comes out at 10.97 g/cm³.

Lattice parameters (Å, degrees): 3.5937 3.5937 7.3662 90.00 90.00 90.00
Fractional coordinates of all 4 atoms:
Tb1 0.0000 0.0000 0.0000
Dy1 0.0000 0.0000 0.4593
Hg1 0.5000 0.5000 0.7278
Pd1 0.5000 0.5000 0.2325

---

Most stable: arrangement b

---

Arrangement a

## DyYHgPd (PBE)

Data for a geometry-optimized DyYHgPd structure.

Summary:
The density comes out at 9.77 g/cm³.

Lattice parameters (Å, degrees): 3.5884 3.5884 7.3696 90.00 90.00 90.00
Fractional coordinates of all 4 atoms:
Dy1 0.0000 0.0000 0.0000
Y1 0.0000 0.0000 0.4598
Hg1 0.5000 0.5000 0.7308
Pd1 0.5000 0.5000 0.2249

---

Arrangement b

## DyYHgPd (PBE)

Data for a geometry-optimized DyYHgPd structure.

Summary:
The density comes out at 9.77 g/cm³.

Lattice parameters (Å, degrees): 5.1192 5.1192 5.1192 60.00 60.00 60.00
Fractional coordinates of all 4 atoms:
Dy1 0.0000 0.0000 0.0000
Y1 0.5000 0.5000 0.5000
Hg1 0.7500 0.7500 0.7500
Pd1 0.2500 0.2500 0.2500

---

Most stable: arrangement a

---

Arrangement a

## PmDy2Hg8 (PBE)

Data for a geometry-optimized PmDy2Hg8 structure.

Summary:
The density comes out at 12.37 g/cm³.

Lattice parameters (Å, degrees): 8.5663 8.5663 8.5663 145.35 127.98 64.02
Fractional coordinates of all 11 atoms:
Pm1 0.0000 0.0000 0.0000
Dy1 0.3066 0.3066 0.0000
Dy2 0.6934 0.6934 0.0000
Hg1 0.1408 0.8509 0.2899
Hg2 0.1567 0.6567 0.5000
Hg3 0.2944 0.5000 0.7944
Hg4 0.4391 0.1491 0.2899
Hg5 0.5609 0.8509 0.7101
Hg6 0.7056 0.5000 0.2056
Hg7 0.8433 0.3433 0.5000
Hg8 0.8592 0.1491 0.7101

---

Arrangement b

## PmDy2Hg8 (PBE)

Data for a geometry-optimized PmDy2Hg8 structure.

Summary:
The density comes out at 12.58 g/cm³.

Lattice parameters (Å, degrees): 8.4125 8.4125 7.2723 108.40 108.40 34.31
Fractional coordinates of all 11 atoms:
Pm1 0.0000 0.0000 0.0000
Dy1 0.2859 0.2859 0.3461
Dy2 0.7141 0.7141 0.6539
Hg1 0.0975 0.0975 0.4611
Hg2 0.1758 0.1758 0.9046
Hg3 0.3498 0.3498 0.8116
Hg4 0.4702 0.4702 0.2710
Hg5 0.5298 0.5298 0.7290
Hg6 0.6502 0.6502 0.1884
Hg7 0.8242 0.8242 0.0954
Hg8 0.9025 0.9025 0.5389

---

Most stable: arrangement b